The following is a DFT calculation (GGA-PBE) of a relaxed TcAs2OsBr crystal.

The space group is P4/mmm (No. 123) and the conventional cell measures 4.7282, 4.7282 and 5.3358 Å, with angles of 90.00, 90.00 and 90.00 degrees. The distinct sites, in fractional coordinates, are Tc at (0.0000, 0.0000, 0.0000), As at (0.0000, 0.5000, 0.5000), Os at (0.5000, 0.5000, 0.5000) and Br at (0.5000, 0.5000, 0.0000).

---

The following is a DFT calculation (GGA-PBE) of a relaxed TeAs2OsBr crystal.

The space group is P4/mmm (No. 123) and the conventional cell measures 5.1137, 5.1137 and 4.6644 Å, with angles of 90.00, 90.00 and 90.00 degrees. The distinct sites, in fractional coordinates, are Te at (0.0000, 0.0000, 0.0000), As at (0.0000, 0.5000, 0.5000), Os at (0.5000, 0.5000, 0.0000) and Br at (0.5000, 0.5000, 0.5000).

---

The following is a DFT calculation (GGA-PBE) of a relaxed TeAsOsBr2 crystal.

The space group is P4/mmm (No. 123) and the conventional cell measures 5.0701, 5.0701 and 4.8324 Å, with angles of 90.00, 90.00 and 90.00 degrees. The distinct sites, in fractional coordinates, are Te at (0.0000, 0.0000, 0.0000), As at (0.5000, 0.5000, 0.0000), Os at (0.5000, 0.5000, 0.5000) and Br at (0.0000, 0.5000, 0.5000).

---

The following is a DFT calculation (GGA-PBE) of a relaxed TeAs2OsBr crystal.

The space group is P4/mmm (No. 123) and the conventional cell measures 4.8226, 4.8226 and 5.1235 Å, with angles of 90.00, 90.00 and 90.00 degrees. The distinct sites, in fractional coordinates, are Te at (0.0000, 0.0000, 0.0000), As at (0.0000, 0.5000, 0.5000), Os at (0.5000, 0.5000, 0.5000) and Br at (0.5000, 0.5000, 0.0000).

---

The following is a DFT calculation (GGA-PBE) of a relaxed TiAsOsBr2 crystal.

The space group is P4/mmm (No. 123) and the conventional cell measures 5.1812, 5.1812 and 4.6722 Å, with angles of 90.00, 90.00 and 90.00 degrees. The distinct sites, in fractional coordinates, are Ti at (0.0000, 0.0000, 0.0000), As at (0.5000, 0.5000, 0.0000), Os at (0.5000, 0.5000, 0.5000) and Br at (0.0000, 0.5000, 0.5000).

---

The following is a DFT calculation (GGA-PBE) of a relaxed TiAsOsBr2 crystal.

The space group is P4/mmm (No. 123) and the conventional cell measures 4.8639, 4.8639 and 5.2833 Å, with angles of 90.00, 90.00 and 90.00 degrees. The distinct sites, in fractional coordinates, are Ti at (0.0000, 0.0000, 0.0000), As at (0.0000, 0.0000, 0.5000), Os at (0.5000, 0.5000, 0.5000) and Br at (0.0000, 0.5000, 0.0000).

---

Number 1: energy above the most stable polymorph in this dataset 0.00 eV/f.u., formation energy without anion corrections 6.162 eV per formula unit. Number 2: energy above the most stable polymorph in this dataset 5.77 eV/f.u., formation energy without anion corrections 8.531 eV per formula unit. Number 3: energy above the most stable polymorph in this dataset 0.00 eV/f.u., formation energy without anion corrections 3.085 eV per formula unit. Number 4: energy above the most stable polymorph in this dataset 0.00 eV/f.u., formation energy without anion corrections 2.765 eV per formula unit. Number 5: energy above the most stable polymorph in this dataset 0.00 eV/f.u., formation energy without anion corrections 4.466 eV per formula unit. Number 6: energy above the most stable polymorph in this dataset 0.28 eV/f.u., formation energy without anion corrections 4.745 eV per formula unit.